[1]
{"formula": "CeNdGa4", "functional": "PBE-GGA", "state": "relaxed", "lattice_angstrom": [[0.0000, 3.9714, 3.9714], [3.9714, 0.0000, 3.9714], [3.9714, 3.9714, 0.0000]], "species": ["Ce", "Nd", "Ga", "Ga", "Ga", "Ga"], "frac_coords": [[0.0000, 0.0000, 0.0000], [0.7500, 0.7500, 0.7500], [0.3745, 0.3745, 0.3745], [0.3745, 0.3745, 0.8765], [0.3745, 0.8765, 0.3745], [0.8765, 0.3745, 0.3745]], "e_above_lowest_polymorph_mev_per_atom": 113, "formation_energy_ev_per_fu": -3.2, "magmom_total_mub_per_atom": 0.15}

***

[2]
{"formula": "Hf4CN", "functional": "PBE-GGA", "state": "relaxed", "lattice_angstrom": [[-3.8083, 3.8083, 3.3044], [3.8083, -3.8083, 3.3044], [3.8083, 3.8083, -3.3044]], "species": ["Hf", "Hf", "Hf", "Hf", "Hf", "Hf", "Hf", "Hf", "C", "C", "N", "N"], "frac_coords": [[0.1970, 0.4945, 0.7025], [0.2445, 0.0421, 0.7975], [0.2445, 0.4470, 0.2025], [0.2959, 0.0000, 0.2959], [0.7041, 0.0000, 0.7041], [0.7500, 0.5459, 0.7959], [0.7500, 0.9541, 0.2041], [0.7921, 0.4945, 0.2975], [0.2507, 0.7507, 0.5000], [0.5007, 0.5007, 0.0000], [0.7435, 0.2435, 0.5000], [0.9935, 0.9935, 0.0000]], "magmom_total_mub_per_atom": 0.00, "formation_energy_uncorrected_mev_per_atom": -952}

***

[3]
{"formula": "KBa2TlTe", "functional": "PBE-GGA", "state": "relaxed", "lattice_angstrom": [[6.6010, 0.0000, 0.0000], [0.0000, 6.6010, 0.0000], [0.0000, 0.0000, 6.4464]], "species": ["K", "Ba", "Ba", "Tl", "Te"], "frac_coords": [[0.0000, 0.0000, 0.0000], [0.0000, 0.5000, 0.5000], [0.5000, 0.0000, 0.5000], [0.5000, 0.5000, 0.5000], [0.5000, 0.5000, 0.0000]], "magmom_total_mub_per_atom": 0.00, "formation_energy_uncorrected_mev_per_atom": -184}

***

[4]
{"formula": "KNaP3", "functional": "PBE-GGA", "state": "relaxed", "lattice_angstrom": [[5.4539, 0.0000, 0.0000], [0.0000, 5.4539, 0.0000], [0.0000, 0.0000, 5.4539]], "species": ["K", "Na", "P", "P", "P"], "frac_coords": [[0.0000, 0.0000, 0.0000], [0.5000, 0.5000, 0.5000], [0.0000, 0.0000, 0.5000], [0.0000, 0.5000, 0.0000], [0.5000, 0.0000, 0.0000]], "e_above_lowest_polymorph_mev_per_atom": 571, "formation_energy_ev_per_fu": 7.4, "magmom_total_mub_per_atom": 0.17}

***

[5]
{"formula": "Na12LiSn6", "functional": "PBE-GGA", "state": "relaxed", "lattice_angstrom": [[5.6088, 3.2382, 4.9688], [-5.6088, 3.2382, 4.9688], [0.0000, -6.4765, 4.9688]], "species": ["Na", "Na", "Na", "Na", "Na", "Na", "Na", "Na", "Na", "Na", "Na", "Na", "Li", "Sn", "Sn", "Sn", "Sn", "Sn", "Sn"], "frac_coords": [[0.0154, 0.3183, 0.9156], [0.0844, 0.9846, 0.6817], [0.1191, 0.3585, 0.4611], [0.3183, 0.9156, 0.0154], [0.3585, 0.4611, 0.1191], [0.4611, 0.1191, 0.3585], [0.5389, 0.8809, 0.6415], [0.6415, 0.5389, 0.8809], [0.6817, 0.0844, 0.9846], [0.8809, 0.6415, 0.5389], [0.9156, 0.0154, 0.3183], [0.9846, 0.6817, 0.0844], [0.5000, 0.5000, 0.5000], [0.2476, 0.6183, 0.7501], [0.2499, 0.7524, 0.3817], [0.3817, 0.2499, 0.7524], [0.6183, 0.7501, 0.2476], [0.7501, 0.2476, 0.6183], [0.7524, 0.3817, 0.2499]], "formation_energy_ev_per_fu": -3.3, "magmom_total_mub_per_atom": 0.00}

***

[6]
{"formula": "Zr2CuRhAu2", "functional": "PBE-GGA", "state": "relaxed", "lattice_angstrom": [[-2.8406, 6.8046, 2.8719], [2.8406, -6.8046, 2.8719], [2.8406, 6.8046, -2.8719]], "species": ["Zr", "Zr", "Zr", "Zr", "Cu", "Cu", "Rh", "Rh", "Au", "Au", "Au", "Au"], "frac_coords": [[0.1531, 0.2160, 0.3692], [0.3469, 0.7160, 0.0629], [0.6531, 0.2840, 0.9371], [0.8469, 0.7840, 0.6308], [0.2500, 0.7500, 0.5000], [0.7500, 0.2500, 0.5000], [0.2500, 0.2500, 0.0000], [0.7500, 0.7500, 0.0000], [0.1388, 0.7158, 0.8546], [0.3612, 0.2158, 0.5770], [0.6388, 0.7842, 0.4230], [0.8612, 0.2842, 0.1454]], "formation_energy_ev_per_fu": -2.5, "magmom_total_mub_per_atom": 0.00}

***

[7]
{"formula": "PrYCd2", "functional": "PBE-GGA", "state": "relaxed", "lattice_angstrom": [[3.7725, 0.0000, 0.0000], [0.0000, 3.7725, 0.0000], [0.0000, 0.0000, 7.8244]], "species": ["Pr", "Y", "Cd", "Cd"], "frac_coords": [[0.0000, 0.0000, 0.0000], [0.0000, 0.0000, 0.5000], [0.5000, 0.5000, 0.2680], [0.5000, 0.5000, 0.7320]], "e_above_lowest_polymorph_mev_per_atom": 1, "formation_energy_ev_per_fu": -1.3, "magmom_total_mub_per_atom": 0.14}

***

[8]
{"formula": "BaAgN", "functional": "PBE-GGA", "state": "relaxed", "lattice_angstrom": [[6.8677, 0.0000, 0.0000], [0.0000, 3.6270, 0.0000], [0.0000, 0.0000, 10.8610]], "species": ["Ba", "Ba", "Ba", "Ba", "Ag", "Ag", "Ag", "Ag", "N", "N", "N", "N"], "frac_coords": [[0.0733, 0.2500, 0.1546], [0.4267, 0.7500, 0.6546], [0.5733, 0.2500, 0.3454], [0.9267, 0.7500, 0.8454], [0.1316, 0.2500, 0.4563], [0.3684, 0.7500, 0.9563], [0.6316, 0.2500, 0.0437], [0.8684, 0.7500, 0.5437], [0.1907, 0.2500, 0.9024], [0.3093, 0.7500, 0.4024], [0.6907, 0.2500, 0.5976], [0.8093, 0.7500, 0.0976]], "magmom_total_mub_per_atom": 0.00, "formation_energy_uncorrected_mev_per_atom": 104}